This record from the Alexandria database describes an optimized crystal structure of Cs2FeCuO4. The functional is PBE with a Hubbard U.

Lattice parameters (Å, degrees): 5.3156 6.8312 10.9664 84.59 75.97 67.10
Positions (direct):
Cs 0.1739 0.0000 0.6521
Cs 0.8261 0.0000 0.3479
Cs 0.5761 0.5000 0.8479
Cs 0.9239 0.5000 0.1521
Fe 0.2500 0.5000 0.5000
Fe 0.5000 0.0000 0.0000
Cu 0.7500 0.5000 0.5000
Cu 0.0000 0.0000 0.0000
O 0.2869 0.8383 0.0869
O 0.2121 0.1617 0.9131
O 0.8748 0.8383 0.9131
O 0.6262 0.1617 0.0869
O 0.4631 0.6617 0.4131
O 0.5379 0.3383 0.5869
O 0.8752 0.6617 0.5869
O 0.1238 0.3383 0.4131

Results
Final energy   -4.988 eV per atom
Symmetry   Fddd
Magnetization   0.872 μB/atom